The following is a DFT calculation (PBE) of HfPdO3 after structural relaxation.

abc: 4.0615 4.0615 4.0615
angles: 90.00 90.00 90.00
Last column: nearest neighbours and their distance in Å.
Space group Pm-3m (No. 221)
Unique sites:
Hf  0.0000  0.0000  0.0000  6 O 2.03
Pd  0.5000  0.5000  0.5000  12 O 2.87
O  0.0000  0.0000  0.5000  2 Hf 2.03

Results
The volume comes out at 13.4 A^3/atom. Its electronic total energy is -38.2 eV per cell. The value obtained for the uncorrected formation energy is -1.6408 eV/atom.